Record 1
Below is a relaxed AgAs2W crystal, with properties calculated at the PBE level.

The structure belongs to space group I-42d (No. 122); the cell edges are 5.967, 5.967 and 11.179 Å and the angles 90.00°, 90.00° and 90.00°. The distinct sites, in fractional coordinates, are Ag at (0.000, 0.000, 0.000), As at (0.221, 0.250, 0.625) and W at (0.000, 0.000, 0.500).

The density of states at the Fermi level comes out at 0.4410 states/eV per atom. The value obtained for the energy above the lowest structure with this stoichiometry is 355 meV/atom. Its electronic total energy is -5.790 eV/atom. Its formation enthalpy at 0 K is 0.49 eV per atom.

=====

Record 2
Below is a relaxed Ag2AsW crystal, with properties calculated at the PBE level.

The structure belongs to space group Immm (No. 71); the cell edges are 2.940, 4.521 and 10.206 Å and the angles 90.00°, 90.00° and 90.00°. The distinct sites, in fractional coordinates, are Ag at (0.000, 0.000, 0.240), As at (0.000, 0.500, 0.500) and W at (0.000, 0.500, 0.000).

The density of states at the Fermi level comes out at 0.4792 states/eV per atom. Its electronic total energy is -5.316 eV/atom. Its formation enthalpy at 0 K is 0.51 eV per atom.

=====

Record 3
Below is a relaxed Ag2AsW crystal, with properties calculated at the PBE level.

The structure belongs to space group Pm (No. 6); the cell edges are 2.801, 4.325 and 5.916 Å and the angles 90.00°, 103.40° and 90.00°. The distinct sites, in fractional coordinates, are Ag at (0.000, 0.000, 0.000), Ag at (0.374, 0.500, 0.775), As at (0.341, 0.500, 0.309) and W at (0.726, 0.000, 0.484).

The density of states at the Fermi level comes out at 0.5506 states/eV per atom. Its electronic total energy is -5.345 eV/atom. Its formation enthalpy at 0 K is 0.48 eV per atom.

=====

Record 4
Below is a relaxed AgAs2W crystal, with properties calculated at the PBE level.

The structure belongs to space group Cmmm (No. 65); the cell edges are 3.288, 4.746 and 9.986 Å and the angles 90.00°, 90.00° and 90.00°. The distinct sites, in fractional coordinates, are Ag at (0.000, 0.000, 0.000), As at (0.000, 0.500, 0.297) and W at (0.000, 0.000, 0.500).

The density of states at the Fermi level comes out at 0.4409 states/eV per atom. The value obtained for the energy above the lowest structure with this stoichiometry is 238 meV/atom. Its electronic total energy is -5.907 eV/atom. Its formation enthalpy at 0 K is 0.37 eV per atom.

=====

Record 5
Below is a relaxed AgAsW crystal, with properties calculated at the PBE level.

The structure belongs to space group P3m1 (No. 156); the cell edges are 3.0324, 3.0324 and 6.6941 Å and the angles 90.00°, 90.00° and 120.00°. The distinct sites, in fractional coordinates, are Ag at (0.0000, 0.0000, 0.0000), As at (0.3333, 0.6667, 0.3726) and W at (0.6667, 0.3333, 0.6473).

The density of states at the Fermi level comes out at 0.5182 states/eV per atom. The value obtained for the energy above the lowest structure with this stoichiometry is 0 meV/atom. Its electronic total energy is -6.419 eV/atom. Its formation enthalpy at 0 K is 0.40 eV per atom.

=====

Record 6
Below is a relaxed Ag2AsW crystal, with properties calculated at the PBE level.

The structure belongs to space group I4/mmm (No. 139); the cell edges are 3.762, 3.762 and 9.823 Å and the angles 90.00°, 90.00° and 90.00°. The distinct sites, in fractional coordinates, are Ag at (0.000, 0.500, 0.250), As at (0.000, 0.000, 0.000) and W at (0.000, 0.000, 0.500).

The density of states at the Fermi level comes out at 0.6281 states/eV per atom. Its electronic total energy is -5.152 eV/atom. Its formation enthalpy at 0 K is 0.67 eV per atom.

=====

Record 7
Below is a relaxed Ag2AsW crystal, with properties calculated at the PBE level.

The structure belongs to space group P4mm (No. 99); the cell edges are 3.220, 3.220 and 6.684 Å and the angles 90.00°, 90.00° and 90.00°. The distinct sites, in fractional coordinates, are Ag at (0.000, 0.000, 0.000), Ag at (0.500, 0.500, 0.258), As at (0.000, 0.000, 0.542) and W at (0.500, 0.500, 0.725).

The density of states at the Fermi level comes out at 0.6020 states/eV per atom. Its electronic total energy is -5.482 eV/atom. Its formation enthalpy at 0 K is 0.34 eV per atom.

=====

Record 8
Below is a relaxed Ag2AsW crystal, with properties calculated at the PBE level.

The structure belongs to space group P4/mmm (No. 123); the cell edges are 5.154, 5.154 and 2.714 Å and the angles 90.00°, 90.00° and 90.00°. The distinct sites, in fractional coordinates, are Ag at (0.000, 0.500, 0.000), As at (0.000, 0.000, 0.500) and W at (0.500, 0.500, 0.500).

The density of states at the Fermi level comes out at 0.5656 states/eV per atom. Its electronic total energy is -5.023 eV/atom. Its formation enthalpy at 0 K is 0.80 eV per atom.